[1]
A geometry-optimized Er2Be3Au9 structure. Source: the Alexandria database, functional PBE.

As for the size of the total moment: 0.0 μB/f.u. The calculation puts the total DFT energy (no corrections) at -4.004 eV/atom. For the calculated formation energy, the calculation gives -447 meV/atom. The volume comes out at 17.31 A^3/atom. Its density of states at the Fermi level is 18.20 states/eV/cell.

The structure belongs to space group C2/c (No. 15); the cell edges are 13.507, 7.771 and 10.264 Å and the angles 90.00°, 115.84° and 90.00°. The distinct sites, in fractional coordinates, are Er at (0.170, 0.083, 0.249), Be at (0.091, 0.228, 0.498), Be at (0.250, 0.250, 0.000), Au at (0.000, 0.341, 0.250), Au at (0.060, 0.072, 0.925), Au at (0.106, 0.406, 0.059), Au at (0.115, 0.303, 0.742) and Au at (0.227, 0.416, 0.431).

***

[2]
A geometry-optimized Li2YAl structure. Source: the Alexandria database, functional PBE.

As for the size of the total moment: 0.0 μB/f.u. The calculation puts the total DFT energy (no corrections) at -3.641 eV/atom. For the calculated formation energy, the calculation gives -133 meV/atom. The volume comes out at 21.00 A^3/atom. Its density of states at the Fermi level is 9.31 states/eV/cell.

The structure belongs to space group F222 (No. 22); the cell edges are 6.935, 6.947 and 6.976 Å and the angles 90.00°, 90.00° and 90.00°. The distinct sites, in fractional coordinates, are Li at (0.000, 0.000, 0.000), Li at (0.250, 0.250, 0.250), Y at (0.000, 0.000, 0.500) and Al at (0.250, 0.250, 0.750).

***

[3]
A geometry-optimized Zr2InSi structure. Source: the Alexandria database, functional PBE.

As for the size of the total moment: 0.0 μB/f.u. The value obtained for the uncorrected formation energy is -80.6 kJ/mol of formula units. The calculation puts the total DFT energy (no corrections) at -6.523 eV/atom. The volume comes out at 20.92 A^3/atom. Its density of states at the Fermi level is 8.78 states/eV/cell.

The structure belongs to space group R-3m (No. 166, hexagonal axes); the cell edges are 3.1857, 3.1857 and 28.5690 Å and the angles 90.00°, 90.00° and 120.00°. The distinct sites, in fractional coordinates, are Zr at (0.0000, 0.0000, 0.2433), In at (0.0000, 0.0000, 0.0000) and Si at (0.0000, 0.0000, 0.5000).

***

[4]
A geometry-optimized LuScRhPb structure. Source: the Alexandria database, functional PBE.

As for the size of the total moment: 0.0 μB/f.u. The calculation puts the total DFT energy (no corrections) at -6.002 eV/atom. For the calculated formation energy, the calculation gives -524 meV/atom. The volume comes out at 21.55 A^3/atom. Its density of states at the Fermi level is 10.58 states/eV/cell.

The structure belongs to space group F-43m (No. 216); the cell edges are 7.013, 7.013 and 7.013 Å and the angles 90.00°, 90.00° and 90.00°. The distinct sites, in fractional coordinates, are Lu at (0.000, 0.000, 0.000), Sc at (0.000, 0.000, 0.500), Rh at (0.250, 0.250, 0.750) and Pb at (0.250, 0.250, 0.250).

***

[5]
A geometry-optimized La2MgBe structure. Source: the Alexandria database, functional PBE.

As for the size of the total moment: 0.0 μB/f.u. The calculation puts the total DFT energy (no corrections) at -3.428 eV/atom. For the calculated formation energy, the calculation gives 366 meV/atom. The volume comes out at 28.23 A^3/atom. Its density of states at the Fermi level is 9.49 states/eV/cell.

The structure belongs to space group I-42d (No. 122); the cell edges are 8.550, 8.550 and 6.179 Å and the angles 90.00°, 90.00° and 90.00°. The distinct sites, in fractional coordinates, are La at (0.194, 0.250, 0.125), Mg at (0.000, 0.000, 0.500) and Be at (0.000, 0.000, 0.000).

***

[6]
A geometry-optimized Sm4AgBi2 structure. Source: the Alexandria database, functional PBE.

As for the size of the total moment: 0.8 μB/f.u. The calculation puts the total DFT energy (no corrections) at -4.603 eV/atom. For the calculated formation energy, the calculation gives -390 meV/atom. The volume comes out at 33.70 A^3/atom. Its density of states at the Fermi level is 15.65 states/eV/cell.

The structure belongs to space group C2/m (No. 12); the cell edges are 16.031, 4.359 and 7.637 Å and the angles 90.00°, 117.86° and 90.00°. The distinct sites, in fractional coordinates, are Sm at (0.114, 0.000, 0.260), Sm at (0.114, 0.500, 0.811), Ag at (0.000, 0.000, 0.500) and Bi at (0.241, 0.000, 0.733).

***

[7]
A geometry-optimized Si2NiAg structure. Source: the Alexandria database, functional PBE.

As for the size of the total moment: 0.0 μB/f.u. The value obtained for the uncorrected formation energy is 79.7 kJ/mol of formula units. The calculation puts the total DFT energy (no corrections) at -4.663 eV/atom. The volume comes out at 14.08 A^3/atom. Its density of states at the Fermi level is 2.57 states/eV/cell.

The structure belongs to space group I-4m2 (No. 119); the cell edges are 3.801, 3.801 and 7.796 Å and the angles 90.00°, 90.00° and 90.00°. The distinct sites, in fractional coordinates, are Si at (0.000, 0.000, 0.000), Si at (0.000, 0.500, 0.250), Ni at (0.000, 0.000, 0.500) and Ag at (0.000, 0.500, 0.750).

***

[8]
A geometry-optimized Sr3BeSi structure. Source: the Alexandria database, functional PBE.

As for the size of the total moment: 0.8 μB/f.u. The value obtained for the uncorrected formation energy is 197.8 kJ/mol of formula units. The calculation puts the total DFT energy (no corrections) at -2.429 eV/atom. The volume comes out at 43.62 A^3/atom. Its density of states at the Fermi level is 5.93 states/eV/cell.

The structure belongs to space group Pm-3m (No. 221); the cell edges are 6.019, 6.019 and 6.019 Å and the angles 90.00°, 90.00° and 90.00°. The distinct sites, in fractional coordinates, are Sr at (0.000, 0.000, 0.500), Be at (0.500, 0.500, 0.500) and Si at (0.000, 0.000, 0.000).